# 1
# GGA-PBE La2AlInAu6, optimized geometry
# ΔH_f (0 K) ... -0.46 eV/atom
# ρ ... 9.95 g cm⁻³
# V ... 26.7 Å³ per atom
# Crystal system ... triclinic
data_La2AlInAu6
_chemical_formula_sum 'La2 Al1 In1 Au6'
_cell_length_a 6.2030
_cell_length_b 8.7597
_cell_length_c 6.1791
_cell_angle_alpha 69.42
_cell_angle_beta 60.44
_cell_angle_gamma 89.91
_space_group_name_H-M_alt 'P 1'
_space_group_IT_number 1
_space_group_name_Hall 'P 1'
loop_
_atom_site_label
_atom_site_type_symbol
_atom_site_fract_x
_atom_site_fract_y
_atom_site_fract_z
Al1 Al 0.5000 0.5000 0.0000
Au1 Au 0.7406 0.7277 0.5124
Au2 Au 0.2594 0.2723 0.4876
Au3 Au 0.2355 0.7265 0.0219
Au4 Au 0.2594 0.2720 0.9799
Au5 Au 0.7406 0.7280 0.0201
Au6 Au 0.7645 0.2735 0.9781
La1 La 0.7982 0.3897 0.4050
La2 La 0.2018 0.6103 0.5950
In1 In 0.0000 0.0000 0.0000



# 2
# GGA-PBE Li2AlInAu4, optimized geometry
# ΔH_f (0 K) ... -0.49 eV/atom
# ρ ... 11.58 g cm⁻³
# V ... 16.9 Å³ per atom
# Crystal system ... trigonal
data_Li2AlInAu4
_chemical_formula_sum 'Li2 Al1 In1 Au4'
_cell_length_a 4.5320
_cell_length_b 4.5320
_cell_length_c 8.0415
_cell_angle_alpha 73.63
_cell_angle_beta 73.63
_cell_angle_gamma 60.00
_space_group_name_H-M_alt 'P 1'
_space_group_IT_number 1
_space_group_name_Hall 'P 1'
loop_
_atom_site_label
_atom_site_type_symbol
_atom_site_fract_x
_atom_site_fract_y
_atom_site_fract_z
Au1 Au 0.6140 0.6140 0.1581
Au2 Au 0.8687 0.8687 0.3940
Au3 Au 0.1313 0.1313 0.6060
Au4 Au 0.3860 0.3860 0.8419
Li1 Li 0.7485 0.7485 0.7545
Li2 Li 0.2515 0.2515 0.2455
Al1 Al 0.5000 0.5000 0.5000
In1 In 0.0000 0.0000 0.0000



# 3
# GGA-PBE MnAlInAu2, optimized geometry
# ΔH_f (0 K) ... 0.36 eV/atom
# ρ ... 8.53 g cm⁻³
# V ... 23.0 Å³ per atom
# Crystal system ... tetragonal
data_MnAlInAu2
_chemical_formula_sum 'Mn1 Al1 In1 Au2'
_cell_length_a 4.8641
_cell_length_b 4.8617
_cell_length_c 4.8641
_cell_angle_alpha 90.00
_cell_angle_beta 90.00
_cell_angle_gamma 90.00
_space_group_name_H-M_alt 'P 1'
_space_group_IT_number 1
_space_group_name_Hall 'P 1'
loop_
_atom_site_label
_atom_site_type_symbol
_atom_site_fract_x
_atom_site_fract_y
_atom_site_fract_z
In1 In 0.5000 0.5000 0.5000
Au1 Au 0.5000 0.0000 0.0000
Au2 Au 0.0000 0.0000 0.5000
Al1 Al 0.0000 0.0000 0.0000
Mn1 Mn 0.0000 0.5000 0.0000



# 4
# GGA-PBE Na2Al3InAu12, optimized geometry
# ΔH_f (0 K) ... -0.06 eV/atom
# ρ ... 10.79 g cm⁻³
# V ... 22.3 Å³ per atom
# Crystal system ... trigonal
data_Na2Al3InAu12
_chemical_formula_sum 'Na2 Al3 In1 Au12'
_cell_length_a 8.0102
_cell_length_b 8.0102
_cell_length_c 8.0102
_cell_angle_alpha 64.73
_cell_angle_beta 64.73
_cell_angle_gamma 64.73
_space_group_name_H-M_alt 'P 1'
_space_group_IT_number 1
_space_group_name_Hall 'P 1'
loop_
_atom_site_label
_atom_site_type_symbol
_atom_site_fract_x
_atom_site_fract_y
_atom_site_fract_z
Au1 Au 0.1472 0.6057 0.1472
Au2 Au 0.3621 0.8908 0.3621
Au3 Au 0.3621 0.3621 0.8908
Au4 Au 0.8908 0.3621 0.3621
Au5 Au 0.1092 0.6379 0.6379
Au6 Au 0.8528 0.8528 0.3943
Au7 Au 0.6379 0.1092 0.6379
Au8 Au 0.3943 0.8528 0.8528
Au9 Au 0.1472 0.1472 0.6057
Au10 Au 0.8528 0.3943 0.8528
Au11 Au 0.6057 0.1472 0.1472
Au12 Au 0.6379 0.6379 0.1092
Na1 Na 0.4023 0.4023 0.4023
Na2 Na 0.5977 0.5977 0.5977
Al1 Al 0.0000 0.0000 0.5000
Al2 Al 0.0000 0.5000 0.0000
Al3 Al 0.5000 0.0000 0.0000
In1 In 0.0000 0.0000 0.0000



# 5
# GGA-PBE NaAlInAu, optimized geometry
# ΔH_f (0 K) ... -0.09 eV/atom
# ρ ... 7.37 g cm⁻³
# V ... 20.4 Å³ per atom
# Crystal system ... cubic
data_NaAlInAu
_chemical_formula_sum 'Na1 Al1 In1 Au1'
_cell_length_a 4.8670
_cell_length_b 4.8670
_cell_length_c 4.8670
_cell_angle_alpha 60.00
_cell_angle_beta 60.00
_cell_angle_gamma 60.00
_space_group_name_H-M_alt 'P 1'
_space_group_IT_number 1
_space_group_name_Hall 'P 1'
loop_
_atom_site_label
_atom_site_type_symbol
_atom_site_fract_x
_atom_site_fract_y
_atom_site_fract_z
Au1 Au 0.0000 0.0000 0.0000
Al1 Al 0.7500 0.7500 0.7500
Na1 Na 0.2500 0.2500 0.2500
In1 In 0.5000 0.5000 0.5000



# 6
# GGA-PBE NaAl2InAu4, optimized geometry
# ΔH_f (0 K) ... -0.24 eV/atom
# ρ ... 10.78 g cm⁻³
# V ... 18.9 Å³ per atom
# Crystal system ... trigonal
data_NaAl2InAu4
_chemical_formula_sum 'Na1 Al2 In1 Au4'
_cell_length_a 4.5581
_cell_length_b 4.5581
_cell_length_c 8.7878
_cell_angle_alpha 74.97
_cell_angle_beta 74.97
_cell_angle_gamma 60.00
_space_group_name_H-M_alt 'P 1'
_space_group_IT_number 1
_space_group_name_Hall 'P 1'
loop_
_atom_site_label
_atom_site_type_symbol
_atom_site_fract_x
_atom_site_fract_y
_atom_site_fract_z
Au1 Au 0.8847 0.8847 0.3458
Au2 Au 0.3851 0.3851 0.8448
Au3 Au 0.6149 0.6149 0.1552
Au4 Au 0.1153 0.1153 0.6542
Al1 Al 0.7359 0.7359 0.7924
Al2 Al 0.2641 0.2641 0.2076
Na1 Na 0.0000 0.0000 0.0000
In1 In 0.5000 0.5000 0.5000



# 7
# GGA-PBE Na2AlInAu6, optimized geometry
# ΔH_f (0 K) ... -0.02 eV/atom
# ρ ... 8.53 g cm⁻³
# V ... 26.7 Å³ per atom
# Crystal system ... cubic
data_Na2AlInAu6
_chemical_formula_sum 'Na2 Al1 In1 Au6'
_cell_length_a 7.2247
_cell_length_b 7.2247
_cell_length_c 7.2247
_cell_angle_alpha 60.00
_cell_angle_beta 60.00
_cell_angle_gamma 90.00
_space_group_name_H-M_alt 'P 1'
_space_group_IT_number 1
_space_group_name_Hall 'P 1'
loop_
_atom_site_label
_atom_site_type_symbol
_atom_site_fract_x
_atom_site_fract_y
_atom_site_fract_z
Au1 Au 0.7390 0.7390 0.5220
Au2 Au 0.2610 0.2610 0.4780
Au3 Au 0.7390 0.2610 0.0000
Au4 Au 0.7390 0.7390 0.0000
Au5 Au 0.2610 0.2610 0.0000
Au6 Au 0.2610 0.7390 0.0000
Al1 Al 0.5000 0.5000 0.0000
In1 In 0.0000 0.0000 0.0000
Na1 Na 0.7500 0.2500 0.5000
Na2 Na 0.2500 0.7500 0.5000



# 8
# GGA-PBE Nd2Al4InAu3, optimized geometry
# ΔH_f (0 K) ... -0.66 eV/atom
# ρ ... 8.68 g cm⁻³
# V ... 21.1 Å³ per atom
# Crystal system ... tetragonal
data_Nd2Al4InAu3
_chemical_formula_sum 'Nd2 Al4 In1 Au3'
_cell_length_a 4.4213
_cell_length_b 4.4213
_cell_length_c 10.7839
_cell_angle_alpha 90.00
_cell_angle_beta 90.00
_cell_angle_gamma 90.00
_space_group_name_H-M_alt 'P 1'
_space_group_IT_number 1
_space_group_name_Hall 'P 1'
loop_
_atom_site_label
_atom_site_type_symbol
_atom_site_fract_x
_atom_site_fract_y
_atom_site_fract_z
Au1 Au 0.0000 0.0000 0.5000
Au2 Au 0.5000 0.0000 0.8759
Au3 Au 0.0000 0.5000 0.1241
Al1 Al 0.5000 0.0000 0.6462
Al2 Al 0.0000 0.0000 0.0000
Al3 Al 0.5000 0.5000 0.0000
Al4 Al 0.0000 0.5000 0.3538
Nd1 Nd 0.5000 0.0000 0.2438
Nd2 Nd 0.0000 0.5000 0.7562
In1 In 0.5000 0.5000 0.5000